# 1
Entry from Alexandria via LeMat-Bulk: a geometry-optimized SiSbSe structure (PBE-GGA).

E_form (uncorrected) = 696 meV/atom

The structure in CIF format:
```
data_SiSbSe
_cell_length_a 6.7520
_cell_length_b 6.7520
_cell_length_c 6.7520
_cell_angle_alpha 90.00
_cell_angle_beta 90.00
_cell_angle_gamma 90.00
_symmetry_space_group_name_H-M 'F -4 3 m'
_symmetry_Int_Tables_number 216
_symmetry_space_group_name_Hall 'F -4 2 3'
loop_
_atom_site_label
_atom_site_type_symbol
_atom_site_fract_x
_atom_site_fract_y
_atom_site_fract_z
Si1 Si 0.0000 0.0000 0.0000
Sb1 Sb 0.0000 0.0000 0.5000
Se1 Se 0.2500 0.2500 0.7500
```

***

# 2
Entry from Alexandria via LeMat-Bulk: a geometry-optimized SiSbSe2 structure (PBE-GGA).

E_form (uncorrected) = 171 meV/atom

The structure in CIF format:
```
data_SiSbSe2
_cell_length_a 3.4415
_cell_length_b 5.0413
_cell_length_c 11.1198
_cell_angle_alpha 90.00
_cell_angle_beta 90.00
_cell_angle_gamma 90.00
_symmetry_space_group_name_H-M 'I m m m'
_symmetry_Int_Tables_number 71
_symmetry_space_group_name_Hall '-I 2 2'
loop_
_atom_site_label
_atom_site_type_symbol
_atom_site_fract_x
_atom_site_fract_y
_atom_site_fract_z
Si1 Si 0.0000 0.0000 0.0000
Sb1 Sb 0.0000 0.0000 0.5000
Se1 Se 0.0000 0.5000 0.3371
```

***

# 3
Entry from Alexandria via LeMat-Bulk: a geometry-optimized SiSbSe2 structure (PBE-GGA).

E_form (uncorrected) = 236 meV/atom

The structure in CIF format:
```
data_SiSbSe2
_cell_length_a 3.3962
_cell_length_b 6.7115
_cell_length_c 8.6351
_cell_angle_alpha 90.00
_cell_angle_beta 90.00
_cell_angle_gamma 90.00
_symmetry_space_group_name_H-M 'C m m m'
_symmetry_Int_Tables_number 65
_symmetry_space_group_name_Hall '-C 2 2'
loop_
_atom_site_label
_atom_site_type_symbol
_atom_site_fract_x
_atom_site_fract_y
_atom_site_fract_z
Si1 Si 0.0000 0.0000 0.0000
Sb1 Sb 0.0000 0.0000 0.5000
Se1 Se 0.0000 0.5000 0.2008
```

***

# 4
Entry from Alexandria via LeMat-Bulk: a geometry-optimized Si2SbSe2 structure (PBE-GGA).

E_form (uncorrected) = 266 meV/atom

The structure in CIF format:
```
data_Si2SbSe2
_cell_length_a 5.1954
_cell_length_b 5.1954
_cell_length_c 7.9292
_cell_angle_alpha 90.00
_cell_angle_beta 90.00
_cell_angle_gamma 90.00
_symmetry_space_group_name_H-M 'I 4/m m m'
_symmetry_Int_Tables_number 139
_symmetry_space_group_name_Hall '-I 4 2'
loop_
_atom_site_label
_atom_site_type_symbol
_atom_site_fract_x
_atom_site_fract_y
_atom_site_fract_z
Si1 Si 0.0000 0.0000 0.1559
Sb1 Sb 0.0000 0.0000 0.5000
Se1 Se 0.0000 0.5000 0.2500
```